Entry 1:
Density functional theory data (PBE-GGA) for a relaxed CsCu3Au crystal.

POSCAR file:
```
CsCu3Au
1.0
5.0279 0.0000 0.0000
0.0000 5.0279 0.0000
0.0000 0.0000 5.0279
Cs Cu Au
1 3 1
Direct
0.0000 0.0000 0.0000
0.0000 0.5000 0.5000
0.5000 0.0000 0.5000
0.5000 0.5000 0.0000
0.5000 0.5000 0.5000
```

Calculated values
As for the formation energy: 0.44 eV/atom. The space group is Pm-3m. The energy above the most stable polymorph in this dataset comes out at 0 meV per atom.

Entry 2:
Density functional theory data (PBE-GGA) for a relaxed AlTlCu crystal.

POSCAR file:
```
AlTlCu
1.0
4.2994 0.0000 0.0000
-2.1497 3.7234 0.0000
0.0000 0.0000 3.7802
Al Tl Cu
1 1 1
Direct
0.0000 0.0000 0.0000
0.3333 0.6667 0.5000
0.6667 0.3333 0.0000
```

Calculated values
As for the formation energy: 0.26 eV/atom. The space group is P-6m2. The energy above the most stable polymorph in this dataset comes out at 77 meV per atom.

Entry 3:
Density functional theory data (PBE-GGA) for a relaxed CrCu23Pd6 crystal.

POSCAR file:
```
CrCu23Pd6
1.0
0.0000 5.8269 5.8269
5.8269 0.0000 5.8269
5.8269 5.8269 0.0000
Cr Cu Pd
1 23 6
Direct
0.0000 0.0000 0.0000
0.0000 0.0000 0.5000
0.0000 0.5000 0.0000
0.0000 0.5000 0.5000
0.1063 0.6312 0.6312
0.1393 0.1393 0.1393
0.1393 0.1393 0.5821
0.1393 0.5821 0.1393
0.3688 0.3688 0.3688
0.3688 0.3688 0.8937
0.3688 0.8937 0.3688
0.4179 0.8607 0.8607
0.5000 0.0000 0.0000
0.5000 0.0000 0.5000
0.5000 0.5000 0.0000
0.5000 0.5000 0.5000
0.5821 0.1393 0.1393
0.6312 0.1063 0.6312
0.6312 0.6312 0.1063
0.6312 0.6312 0.6312
0.8607 0.4179 0.8607
0.8607 0.8607 0.4179
0.8607 0.8607 0.8607
0.8937 0.3688 0.3688
0.2460 0.2460 0.7540
0.2460 0.7540 0.2460
0.2460 0.7540 0.7540
0.7540 0.2460 0.2460
0.7540 0.2460 0.7540
0.7540 0.7540 0.2460
```

Calculated values
As for the formation energy: 0.02 eV/atom. The space group is Fm-3m.

Entry 4:
Density functional theory data (PBE-GGA) for a relaxed CoOsRh3 crystal.

POSCAR file:
```
CoOsRh3
1.0
4.3704 0.0000 0.0000
0.0000 4.3704 0.0000
0.0000 0.0000 4.3704
Co Os Rh
1 1 3
Direct
0.0000 0.0000 0.0000
0.5000 0.5000 0.5000
0.0000 0.0000 0.5000
0.0000 0.5000 0.0000
0.5000 0.0000 0.0000
```

Calculated values
As for the formation energy: 1.53 eV/atom. The space group is Pm-3m. The energy above the most stable polymorph in this dataset comes out at 1033 meV per atom.

Entry 5:
Density functional theory data (PBE-GGA) for a relaxed BaAl2InTc crystal.

POSCAR file:
```
BaAl2InTc
1.0
4.9419 0.0000 0.0000
0.0000 4.9419 0.0000
0.0000 0.0000 5.2357
Ba Al In Tc
1 2 1 1
Direct
0.0000 0.0000 0.0000
0.0000 0.5000 0.5000
0.5000 0.0000 0.5000
0.5000 0.5000 0.0000
0.5000 0.5000 0.5000
```

Calculated values
As for the formation energy: -0.26 eV/atom. The space group is P4/mmm.

Entry 6:
Density functional theory data (PBE-GGA) for a relaxed Ta2TcPd crystal.

POSCAR file:
```
Ta2TcPd
1.0
3.2348 0.0000 0.0000
0.0000 3.2348 0.0000
0.0000 0.0000 6.3270
Ta Tc Pd
2 1 1
Direct
0.0000 0.0000 0.2393
0.0000 0.0000 0.7607
0.5000 0.5000 0.0000
0.5000 0.5000 0.5000
```

Calculated values
As for the formation energy: -0.25 eV/atom. The space group is P4/mmm.